Here is crystalline CdIrOsF2 at its relaxed geometry from the Alexandria database. Energies are from PBE.

Geometry as POSCAR:
```
CdIrOsF2
1.0
3.950 0.000 0.000
0.000 3.950 0.000
0.000 0.000 5.880
Cd Ir Os F
1 1 1 2
Cartesian
0.000 0.000 0.000
1.975 1.975 0.000
0.000 0.000 2.940
0.000 1.975 2.940
1.975 0.000 2.940
```

Summary:
The total magnetic moment comes out at 0.5865 μB/atom. The calculation puts the total energy at -4.500 eV per atom. The crystal system is tetragonal.